Entry 1:
Here is a geometry-optimized CsTlAs structure from Alexandria via LeMat-Bulk. Energies are from PBE.

a b c (Å): 4.463 5.847 9.912
angles (deg): 90.00 103.01 90.00
Positions (direct):
Cs: 0.676 0.750 0.353
Cs: 0.324 0.250 0.647
Tl: 0.544 0.250 0.087
Tl: 0.456 0.750 0.913
As: 0.874 0.750 0.749
As: 0.126 0.250 0.251

Results
energy = -16.5 eV for the cell shown
ΔE to the lowest computed polymorph = 187 meV per atom
energy of formation from the pure elements = -0.121 eV/atom
space group = Cmcm (63)

Entry 2:
Here is a geometry-optimized TlBiH3 structure from Alexandria via LeMat-Bulk. Energies are from PBE.

a b c (Å): 4.198 4.198 4.198
angles (deg): 90.00 90.00 90.00
Positions (direct):
H: 0.000 0.500 0.000
H: 0.000 0.000 0.500
H: 0.500 0.000 0.000
Tl: 0.000 0.000 0.000
Bi: 0.500 0.500 0.500

Results
energy = -12.2 eV for the cell shown
ΔE to the lowest computed polymorph = 344 meV per atom
space group = Pm-3m (221)

Repeat the second record exactly.
Here is a geometry-optimized TlBiH3 structure from Alexandria via LeMat-Bulk. Energies are from PBE.

a b c (Å): 4.198 4.198 4.198
angles (deg): 90.00 90.00 90.00
Positions (direct):
H: 0.000 0.500 0.000
H: 0.000 0.000 0.500
H: 0.500 0.000 0.000
Tl: 0.000 0.000 0.000
Bi: 0.500 0.500 0.500

Results
energy = -12.2 eV for the cell shown
ΔE to the lowest computed polymorph = 344 meV per atom
space group = Pm-3m (221)

> What is the formula in the first record?

CsTlAs

> Which formula does entry 1 have?

CsTlAs

> The lowest ΔE to the lowest computed polymorph belongs to which entry?

CsTlAs